Below is a relaxed TaAgIr3 crystal, with properties calculated at the GGA-PBE level.

Its formation enthalpy at 0 K is 11.16 eV per formula unit. The calculation puts the total magnetization at 0.0 μB/f.u. The offset from the most stable computed form is 0.798 eV/atom. The calculation puts the total energy at -6.0257 eV/atom.

Unit cell a=4.675 b=4.675 c=4.675 alpha=90.00 beta=90.00 gamma=90.00
Space group Pm-3m (No. 221)
Inequivalent atoms, fractional coordinates:
Ta: 0.000 0.000 0.000
Ag: 0.500 0.500 0.500
Ir: 0.000 0.500 0.500